Record 1
AgTe2Cl: relaxed, GGA-PBEsol.

a = 3.8364 Å, b = 6.7829 Å, c = 8.2186 Å
α = 90.00°, β = 90.00°, γ = 90.00°
Space group Imm2 (No. 44)
One atom of each set of equivalent atoms:
Ag 0.0000 0.0000 0.0000 x2
Te 0.0000 0.0000 0.4943 x2
Te 0.0000 0.5000 0.2532 x2
Cl 0.0000 0.5000 0.6951 x2

Output
V ... 214 Å³/cell
Crystal system ... orthorhombic
Total energy ... -3.06 eV per atom
E_form (uncorrected) ... 0.03 eV per atom



Record 2
Zr2Ga2Pt: relaxed, GGA-PBEsol.

a = 6.4789 Å, b = 6.4789 Å, c = 4.1436 Å
α = 90.00°, β = 90.00°, γ = 90.00°
Space group P4/mbm (No. 127)
One atom of each set of equivalent atoms:
Zr 0.1722 0.3278 0.0000 x4
Ga 0.1348 0.6348 0.5000 x4
Pt 0.0000 0.0000 0.5000 x2

Output
V ... 174 Å³/cell
Crystal system ... tetragonal
E_form ... -0.870 eV per atom
Total energy ... -7.23 eV per atom



Record 3
HfCuReP2: relaxed, GGA-PBEsol.

a = 4.4632 Å, b = 4.4632 Å, c = 4.6494 Å
α = 90.00°, β = 90.00°, γ = 90.00°
Space group P4/mmm (No. 123)
One atom of each set of equivalent atoms:
Hf 0.0000 0.0000 0.0000 x1
Cu 0.5000 0.5000 0.0000 x1
Re 0.5000 0.5000 0.5000 x1
P 0.0000 0.5000 0.5000 x2

Output
V ... 93 Å³/cell
Crystal system ... tetragonal
E_form ... 0.659 eV per atom
Total energy ... -7.29 eV per atom



What is the formula in the second record? Zr2Ga2Pt